(1)
PdRuCl2 | SCAN | single point on PBEsol structure

abc: 3.4171 3.4171 21.4542
angles: 90.00 90.00 120.00
Space group R-3m (No. 166, hexagonal axes)
One atom of each set of equivalent atoms:
Pd 0.0000 0.0000 0.0000 (multiplicity 3)
Ru 0.0000 0.0000 0.5000 (multiplicity 3)
Cl 0.0000 0.0000 0.1065 (multiplicity 6)

Computed properties:
For the total energy, the calculation gives -250.0 eV for the cell shown. Its uncorrected formation energy is 0.06 eV per atom. As for the density of states at the Fermi level: 1.76 states/eV per cell.


(2)
ScPdS2Cl | SCAN | single point on PBEsol structure

abc: 4.6797 4.6797 4.5294
angles: 90.00 90.00 90.00
Space group P4/mmm (No. 123)
One atom of each set of equivalent atoms:
Sc 0.0000 0.0000 0.0000 (multiplicity 1)
Pd 0.5000 0.5000 0.5000 (multiplicity 1)
S 0.0000 0.5000 0.5000 (multiplicity 2)
Cl 0.5000 0.5000 0.0000 (multiplicity 1)

Computed properties:
For the total energy, the calculation gives -76.7 eV for the cell shown. Its uncorrected formation energy is -0.49 eV per atom. As for the density of states at the Fermi level: 2.10 states/eV per cell.


(3)
SnPdSCl2 | SCAN | single point on PBEsol structure

abc: 5.0465 5.0465 4.9799
angles: 90.00 90.00 90.00
Space group P4/mmm (No. 123)
One atom of each set of equivalent atoms:
Sn 0.0000 0.0000 0.0000 (multiplicity 1)
Pd 0.5000 0.5000 0.5000 (multiplicity 1)
S 0.0000 0.0000 0.5000 (multiplicity 1)
Cl 0.0000 0.5000 0.0000 (multiplicity 2)

Computed properties:
For the total energy, the calculation gives -93.7 eV for the cell shown. Its uncorrected formation energy is 0.11 eV per atom. As for the density of states at the Fermi level: 1.80 states/eV per cell.


(4)
SrPdS2Cl | SCAN | single point on PBEsol structure

abc: 5.5524 5.5524 5.3417
angles: 90.00 90.00 90.00
Space group P4/mmm (No. 123)
One atom of each set of equivalent atoms:
Sr 0.0000 0.0000 0.0000 (multiplicity 1)
Pd 0.5000 0.5000 0.5000 (multiplicity 1)
S 0.0000 0.5000 0.0000 (multiplicity 2)
Cl 0.0000 0.0000 0.5000 (multiplicity 1)

Computed properties:
For the total energy, the calculation gives -81.6 eV for the cell shown. Its uncorrected formation energy is 0.13 eV per atom. As for the density of states at the Fermi level: 4.36 states/eV per cell.


(5)
Pd2WSCl | SCAN | single point on PBEsol structure

abc: 4.4455 4.4455 4.4354
angles: 90.00 90.00 90.00
Space group P4/mmm (No. 123)
One atom of each set of equivalent atoms:
Pd 0.0000 0.5000 0.0000 (multiplicity 2)
W 0.0000 0.0000 0.5000 (multiplicity 1)
S 0.5000 0.5000 0.5000 (multiplicity 1)
Cl 0.0000 0.0000 0.0000 (multiplicity 1)

Computed properties:
For the total energy, the calculation gives -146.3 eV for the cell shown. Its uncorrected formation energy is 1.31 eV per atom. As for the density of states at the Fermi level: 3.93 states/eV per cell.


(6)
Sb2TePdCl | SCAN | single point on PBEsol structure

abc: 5.1901 5.1901 5.1164
angles: 90.00 90.00 90.00
Space group P4/mmm (No. 123)
One atom of each set of equivalent atoms:
Sb 0.0000 0.5000 0.0000 (multiplicity 2)
Te 0.0000 0.0000 0.5000 (multiplicity 1)
Pd 0.5000 0.5000 0.5000 (multiplicity 1)
Cl 0.0000 0.0000 0.0000 (multiplicity 1)

Computed properties:
For the total energy, the calculation gives -147.0 eV for the cell shown. Its uncorrected formation energy is 1.10 eV per atom. As for the density of states at the Fermi level: 5.39 states/eV per cell. For the energy above the most stable polymorph in this dataset, the calculation gives 827 meV/atom.


(7)
Sb2TePdCl | SCAN | single point on PBEsol structure

abc: 5.1971 5.1971 5.1697
angles: 90.00 90.00 90.00
Space group P4/mmm (No. 123)
One atom of each set of equivalent atoms:
Sb 0.0000 0.5000 0.0000 (multiplicity 2)
Te 0.0000 0.0000 0.5000 (multiplicity 1)
Pd 0.0000 0.0000 0.0000 (multiplicity 1)
Cl 0.5000 0.5000 0.5000 (multiplicity 1)

Computed properties:
For the total energy, the calculation gives -151.1 eV for the cell shown. Its uncorrected formation energy is 0.28 eV per atom. As for the density of states at the Fermi level: 7.12 states/eV per cell. For the energy above the most stable polymorph in this dataset, the calculation gives 0 meV/atom.


(8)
PdSe6Cl2 | SCAN | single point on PBEsol structure

abc: 4.3531 8.4496 12.6475
angles: 90.00 100.17 90.00
Space group P2_1/c (No. 14)
One atom of each set of equivalent atoms:
Pd 0.0000 0.0000 0.0000 (multiplicity 2)
Se 0.0161 0.1343 0.3540 (multiplicity 4)
Se 0.1836 0.7315 0.9924 (multiplicity 4)
Se 0.1902 0.1228 0.6527 (multiplicity 4)
Cl 0.3670 0.0378 0.1515 (multiplicity 4)

Computed properties:
For the total energy, the calculation gives -342.9 eV for the cell shown. Its uncorrected formation energy is -0.25 eV per atom.